VASP calculation (PBE) on an optimized crystal structure of Ac2TlPtPb.

a b c (Å): 8.6566 4.6381 8.9060
angles (deg): 90.00 115.58 90.00
Space group P2_1/m (No. 11)
Unique sites:
Ac  0.0082  0.2500  0.2124 (multiplicity 2)
Ac  0.3378  0.7500  0.6155 (multiplicity 2)
Tl  0.3525  0.2500  0.9559 (multiplicity 2)
Pt  0.0865  0.2500  0.6049 (multiplicity 2)
Pb  0.3121  0.7500  0.2142 (multiplicity 2)

Results
- Density of states at the Fermi level: 0.67 states/eV per atom
- DFT formation energy: -3.3 eV per formula unit

***

VASP calculation (PBE) on an optimized crystal structure of AcTmPtPb.

a b c (Å): 7.6425 7.6425 7.6425
angles (deg): 90.00 90.00 90.00
Space group F-43m (No. 216)
Unique sites:
Ac  0.0000  0.0000  0.0000 (multiplicity 4)
Tm  0.0000  0.0000  0.5000 (multiplicity 4)
Pt  0.2500  0.2500  0.2500 (multiplicity 4)
Pb  0.2500  0.2500  0.7500 (multiplicity 4)

Results
- Density of states at the Fermi level: 0.29 states/eV per atom
- DFT formation energy: -2.5 eV per formula unit

***

VASP calculation (PBE) on an optimized crystal structure of AcYPtPb.

a b c (Å): 7.6838 7.6838 7.6838
angles (deg): 90.00 90.00 90.00
Space group F-43m (No. 216)
Unique sites:
Ac  0.0000  0.0000  0.0000 (multiplicity 4)
Y  0.0000  0.0000  0.5000 (multiplicity 4)
Pt  0.2500  0.2500  0.2500 (multiplicity 4)
Pb  0.2500  0.2500  0.7500 (multiplicity 4)

Results
- Density of states at the Fermi level: 0.44 states/eV per atom
- DFT formation energy: -2.6 eV per formula unit

***

VASP calculation (PBE) on an optimized crystal structure of Ac3Zn2Pt4Pb2.

a b c (Å): 4.5855 4.5855 15.6244
angles (deg): 90.00 90.00 120.00
Space group P-3m1 (No. 164)
Unique sites:
Ac  0.0000  0.0000  0.0000 (multiplicity 1)
Ac  0.0000  0.0000  0.2617 (multiplicity 2)
Zn  0.3333  0.6667  0.1338 (multiplicity 2)
Pt  0.3333  0.6667  0.3698 (multiplicity 2)
Pt  0.3333  0.6667  0.8748 (multiplicity 2)
Pb  0.3333  0.6667  0.5652 (multiplicity 2)

Results
- Density of states at the Fermi level: 0.65 states/eV per atom
- DFT formation energy: -8.1 eV per formula unit

***

VASP calculation (PBE) on an optimized crystal structure of Ac2ZnPtPb.

a b c (Å): 7.7819 4.7709 8.3605
angles (deg): 90.00 108.80 90.00
Space group P2_1/m (No. 11)
Unique sites:
Ac  0.1353  0.2500  0.3333 (multiplicity 2)
Ac  0.2933  0.2500  0.9529 (multiplicity 2)
Zn  0.4348  0.7500  0.3092 (multiplicity 2)
Pt  0.1147  0.7500  0.0794 (multiplicity 2)
Pb  0.3358  0.7500  0.6452 (multiplicity 2)

Results
- Density of states at the Fermi level: 0.49 states/eV per atom
- DFT formation energy: -3.5 eV per formula unit

***

VASP calculation (PBE) on an optimized crystal structure of Ac2Zn4Pt3Pb.

a b c (Å): 4.3817 4.3817 11.3323
angles (deg): 90.00 90.00 90.00
Space group P-4m2 (No. 115)
Unique sites:
Ac  0.0000  0.5000  0.2386 (multiplicity 2)
Zn  0.0000  0.0000  0.0000 (multiplicity 1)
Zn  0.0000  0.5000  0.6451 (multiplicity 2)
Zn  0.5000  0.5000  0.0000 (multiplicity 1)
Pt  0.0000  0.5000  0.8708 (multiplicity 2)
Pt  0.5000  0.5000  0.5000 (multiplicity 1)
Pb  0.0000  0.0000  0.5000 (multiplicity 1)

Results
- Density of states at the Fermi level: 0.62 states/eV per atom
- DFT formation energy: -6.5 eV per formula unit

***

VASP calculation (PBE) on an optimized crystal structure of Ac2Zn3Pt4Pb.

a b c (Å): 4.5407 4.5407 10.6357
angles (deg): 90.00 90.00 90.00
Space group P-4m2 (No. 115)
Unique sites:
Ac  0.0000  0.5000  0.2278 (multiplicity 2)
Zn  0.0000  0.5000  0.8854 (multiplicity 2)
Zn  0.5000  0.5000  0.5000 (multiplicity 1)
Pt  0.0000  0.0000  0.0000 (multiplicity 1)
Pt  0.0000  0.5000  0.6477 (multiplicity 2)
Pt  0.5000  0.5000  0.0000 (multiplicity 1)
Pb  0.0000  0.0000  0.5000 (multiplicity 1)

Results
- Density of states at the Fermi level: 0.61 states/eV per atom
- DFT formation energy: -7.4 eV per formula unit

***

VASP calculation (PBE) on an optimized crystal structure of Ac2Pu2Pb3.

a b c (Å): 4.7350 25.5542 3.7038
angles (deg): 90.00 90.00 90.00
Space group Cmmm (No. 65)
Unique sites:
Ac  0.0000  0.0788  0.0000 (multiplicity 4)
Pu  0.0000  0.2169  0.0000 (multiplicity 4)
Pb  0.0000  0.3362  0.5000 (multiplicity 4)
Pb  0.0000  0.5000  0.5000 (multiplicity 2)

Results
- Density of states at the Fermi level: 2.36 states/eV per atom
- DFT formation energy: -1.8 eV per formula unit

***

VASP calculation (PBE) on an optimized crystal structure of AcPuPb.

a b c (Å): 4.8101 4.8101 8.9499
angles (deg): 90.00 90.00 90.00
Space group P4/nmm (No. 129, origin choice 2)
Unique sites:
Ac  0.2500  0.2500  0.1550 (multiplicity 2)
Pu  0.2500  0.7500  0.5000 (multiplicity 2)
Pb  0.2500  0.2500  0.7627 (multiplicity 2)

Results
- Density of states at the Fermi level: 2.24 states/eV per atom
- DFT formation energy: -0.9 eV per formula unit

***

VASP calculation (PBE) on an optimized crystal structure of AcPuPb4.

a b c (Å): 9.2065 9.2065 9.2065
angles (deg): 90.00 90.00 90.00
Space group F-43m (No. 216)
Unique sites:
Ac  0.0000  0.0000  0.0000 (multiplicity 4)
Pu  0.2500  0.2500  0.7500 (multiplicity 4)
Pb  0.1247  0.1247  0.3753 (multiplicity 16)

Results
- Density of states at the Fermi level: 2.54 states/eV per atom
- DFT formation energy: -0.8 eV per formula unit

***

VASP calculation (PBE) on an optimized crystal structure of AcPuPb.

a b c (Å): 4.1884 7.3087 13.8465
angles (deg): 90.00 90.00 90.00
Space group Immm (No. 71)
Unique sites:
Ac  0.0000  0.0000  0.1753 (multiplicity 4)
Pu  0.0000  0.5000  0.1035 (multiplicity 4)
Pb  0.0000  0.2808  0.5000 (multiplicity 4)

Results
- Density of states at the Fermi level: 3.55 states/eV per atom
- DFT formation energy: -0.1 eV per formula unit

***

VASP calculation (PBE) on an optimized crystal structure of Ac2PuPb2.

a b c (Å): 8.5131 13.5620 6.7733
angles (deg): 90.00 90.00 90.00
Space group Ibam (No. 72)
Unique sites:
Ac  0.1609  0.1392  0.0000 (multiplicity 8)
Pu  0.0000  0.5000  0.2500 (multiplicity 4)
Pb  0.2398  0.1194  0.5000 (multiplicity 8)

Results
- Density of states at the Fermi level: 1.72 states/eV per atom
- DFT formation energy: -1.3 eV per formula unit

***

VASP calculation (PBE) on an optimized crystal structure of Ac2PuPb3.

a b c (Å): 3.7107 6.1528 19.1719
angles (deg): 90.00 90.00 90.00
Space group Immm (No. 71)
Unique sites:
Ac  0.0000  0.0000  0.1552 (multiplicity 4)
Pu  0.0000  0.0000  0.5000 (multiplicity 2)
Pb  0.0000  0.0000  0.3339 (multiplicity 4)
Pb  0.0000  0.5000  0.5000 (multiplicity 2)

Results
- Density of states at the Fermi level: 2.47 states/eV per atom
- DFT formation energy: -1.1 eV per formula unit

***

VASP calculation (PBE) on an optimized crystal structure of AcPuPb2.

a b c (Å): 3.6775 3.6775 9.3541
angles (deg): 90.00 90.00 90.00
Space group P4/mmm (No. 123)
Unique sites:
Ac  0.0000  0.0000  0.0000 (multiplicity 1)
Pu  0.0000  0.0000  0.5000 (multiplicity 1)
Pb  0.5000  0.5000  0.2642 (multiplicity 2)

Results
- Density of states at the Fermi level: 2.76 states/eV per atom
- DFT formation energy: -1.2 eV per formula unit

***

VASP calculation (PBE) on an optimized crystal structure of Ac3Pu2Pb3.

a b c (Å): 4.5264 5.2634 22.8010
angles (deg): 90.00 90.00 90.00
Space group Immm (No. 71)
Unique sites:
Ac  0.0000  0.0000  0.0000 (multiplicity 2)
Ac  0.0000  0.5000  0.1262 (multiplicity 4)
Pu  0.0000  0.0000  0.2473 (multiplicity 4)
Pb  0.0000  0.0000  0.5000 (multiplicity 2)
Pb  0.0000  0.5000  0.3568 (multiplicity 4)

Results
- Density of states at the Fermi level: 1.88 states/eV per atom
- DFT formation energy: -2.2 eV per formula unit

***

VASP calculation (PBE) on an optimized crystal structure of AcPuPb2.

a b c (Å): 3.7059 3.7059 33.2209
angles (deg): 90.00 90.00 120.00
Space group R-3m (No. 166, hexagonal axes)
Unique sites:
Ac  0.0000  0.0000  0.0000 (multiplicity 3)
Pu  0.0000  0.0000  0.5000 (multiplicity 3)
Pb  0.0000  0.0000  0.2460 (multiplicity 6)

Results
- Density of states at the Fermi level: 2.70 states/eV per atom
- DFT formation energy: -0.5 eV per formula unit

***

VASP calculation (PBE) on an optimized crystal structure of AcPuPb3.

a b c (Å): 7.7376 7.7376 6.4566
angles (deg): 90.00 90.00 120.00
Space group P6_3/mmc (No. 194)
Unique sites:
Ac  0.3333  0.6667  0.2500 (multiplicity 2)
Pu  0.0000  0.0000  0.0000 (multiplicity 2)
Pb  0.2001  0.4001  0.7500 (multiplicity 6)

Results
- Density of states at the Fermi level: 1.90 states/eV per atom
- DFT formation energy: -1.0 eV per formula unit

***

VASP calculation (PBE) on an optimized crystal structure of AcPuPb6.

a b c (Å): 4.9779 4.9779 9.8612
angles (deg): 90.00 90.00 90.00
Space group P4/mmm (No. 123)
Unique sites:
Ac  0.0000  0.0000  0.0000 (multiplicity 1)
Pu  0.0000  0.0000  0.5000 (multiplicity 1)
Pb  0.0000  0.5000  0.2615 (multiplicity 4)
Pb  0.5000  0.5000  0.0000 (multiplicity 1)
Pb  0.5000  0.5000  0.5000 (multiplicity 1)

Results
- Density of states at the Fermi level: 1.76 states/eV per atom
- DFT formation energy: -2.3 eV per formula unit

***

VASP calculation (PBE) on an optimized crystal structure of AcPuPb2.

a b c (Å): 8.0551 8.0551 8.0551
angles (deg): 90.00 90.00 90.00
Space group Fm-3m (No. 225)
Unique sites:
Ac  0.0000  0.0000  0.0000 (multiplicity 4)
Pu  0.0000  0.0000  0.5000 (multiplicity 4)
Pb  0.2500  0.2500  0.2500 (multiplicity 8)

Results
- Density of states at the Fermi level: 3.65 states/eV per atom
- DFT formation energy: -0.9 eV per formula unit

***

VASP calculation (PBE) on an optimized crystal structure of AcPuPb.

a b c (Å): 4.2823 4.2823 10.7286
angles (deg): 90.00 90.00 90.00
Space group I4mm (No. 107)
Unique sites:
Ac  0.0000  0.0000  0.0000 (multiplicity 2)
Pu  0.0000  0.0000  0.6916 (multiplicity 2)
Pb  0.0000  0.0000  0.3347 (multiplicity 2)

Results
- Density of states at the Fermi level: 3.56 states/eV per atom
- DFT formation energy: -0.3 eV per formula unit

***

VASP calculation (PBE) on an optimized crystal structure of Ac3PuPb5.

a b c (Å): 10.1396 10.1396 6.8129
angles (deg): 90.00 90.00 120.00
Space group P6_3/mcm (No. 193)
Unique sites:
Ac  0.0000  0.3788  0.2500 (multiplicity 6)
Pu  0.0000  0.0000  0.0000 (multiplicity 2)
Pb  0.0000  0.2827  0.7500 (multiplicity 6)
Pb  0.3333  0.6667  0.0000 (multiplicity 4)

Results
- Density of states at the Fermi level: 1.61 states/eV per atom
- DFT formation energy: -3.6 eV per formula unit

***

VASP calculation (PBE) on an optimized crystal structure of Ac5PuPb6.

a b c (Å): 17.1806 9.3715 5.4030
angles (deg): 90.00 108.23 90.00
Space group C2/m (No. 12)
Unique sites:
Ac  0.0000  0.0000  0.0000 (multiplicity 2)
Ac  0.1598  0.5000  0.6597 (multiplicity 4)
Ac  0.1696  0.0000  0.6694 (multiplicity 4)
Pu  0.0000  0.5000  0.0000 (multiplicity 2)
Pb  0.0000  0.2524  0.5000 (multiplicity 4)
Pb  0.1633  0.2517  0.1631 (multiplicity 8)

Results
- Density of states at the Fermi level: 1.64 states/eV per atom
- DFT formation energy: -5.0 eV per formula unit

***

VASP calculation (PBE) on an optimized crystal structure of AcPuPb.

a b c (Å): 5.5968 5.5968 3.7137
angles (deg): 90.00 90.00 120.00
Space group P3m1 (No. 156)
Unique sites:
Ac  0.0000  0.0000  0.0000 (multiplicity 1)
Pu  0.3333  0.6667  0.5431 (multiplicity 1)
Pb  0.6667  0.3333  0.4259 (multiplicity 1)

Results
- Density of states at the Fermi level: 3.02 states/eV per atom
- DFT formation energy: -0.1 eV per formula unit

***

VASP calculation (PBE) on an optimized crystal structure of AcPuRhPb.

a b c (Å): 7.6380 7.6380 7.6380
angles (deg): 90.00 90.00 90.00
Space group F-43m (No. 216)
Unique sites:
Ac  0.0000  0.0000  0.0000 (multiplicity 4)
Pu  0.0000  0.0000  0.5000 (multiplicity 4)
Rh  0.2500  0.2500  0.7500 (multiplicity 4)
Pb  0.2500  0.2500  0.2500 (multiplicity 4)

Results
- Density of states at the Fermi level: 3.18 states/eV per atom
- DFT formation energy: -0.6 eV per formula unit

***

VASP calculation (PBE) on an optimized crystal structure of AcPuScPb.

a b c (Å): 7.7506 7.7506 7.7506
angles (deg): 90.00 90.00 90.00
Space group F-43m (No. 216)
Unique sites:
Ac  0.0000  0.0000  0.0000 (multiplicity 4)
Pu  0.2500  0.2500  0.2500 (multiplicity 4)
Sc  0.2500  0.2500  0.7500 (multiplicity 4)
Pb  0.0000  0.0000  0.5000 (multiplicity 4)

Results
- Density of states at the Fermi level: 3.38 states/eV per atom
- DFT formation energy: 0.3 eV per formula unit

***

VASP calculation (PBE) on an optimized crystal structure of AcSmPuPb.

a b c (Å): 7.9886 7.9886 7.9886
angles (deg): 90.00 90.00 90.00
Space group F-43m (No. 216)
Unique sites:
Ac  0.0000  0.0000  0.0000 (multiplicity 4)
Sm  0.2500  0.2500  0.7500 (multiplicity 4)
Pu  0.2500  0.2500  0.2500 (multiplicity 4)
Pb  0.0000  0.0000  0.5000 (multiplicity 4)

Results
- Density of states at the Fermi level: 3.64 states/eV per atom
- DFT formation energy: 0.2 eV per formula unit